[1]
## Nd4PuO10 (PBE)

Data for Nd4PuO10 after structural relaxation.

Computed properties:
**Magnetization**: 0.0063 μB per atom
**Symmetry**: I4/m
**Calculated volume**: 13.977 Å³ per atom
**Energy relative to the elements, uncorrected**: -281 kJ per mole of atoms
**Mass density**: 7.77 g/cm3

abc: 5.561 6.740 6.740
angles: 80.20 65.64 65.64
Site moments in Bohr magnetons follow the coordinates.
Fractional coordinates of all 15 atoms:
1 Nd 0.598 0.206 0.598  0.00
2 Nd 0.196 0.402 0.206  0.00
3 Nd 0.804 0.598 0.794  0.00
4 Nd 0.402 0.794 0.402  0.00
5 Pu 0.000 0.000 0.000  -0.29
6 O 0.045 0.086 0.276  0.02
7 O 0.750 0.500 0.500  0.01
8 O 0.593 0.086 0.276  0.02
9 O 0.869 0.724 0.086  0.02
10 O 0.679 0.276 0.914  0.02
11 O 0.321 0.724 0.086  0.02
12 O 0.131 0.276 0.914  0.02
13 O 0.407 0.914 0.724  0.02
14 O 0.250 0.500 0.500  0.01
15 O 0.955 0.914 0.724  0.02


[2]
## Ho3Th2Se6 (PBE)

Data for Ho3Th2Se6 after structural relaxation.

Computed properties:
**Magnetization**: 0.0000 μB per atom
**Symmetry**: C2/m
**Calculated volume**: 26.538 Å³ per atom
**Energy relative to the elements, uncorrected**: -168 kJ per mole of atoms
**Mass density**: 8.15 g/cm3

abc: 7.065 7.091 7.131
angles: 80.41 70.47 60.12
Fractional coordinates of all 11 atoms:
1 Ho 0.334 0.333 0.000
2 Ho 0.000 0.000 0.000
3 Ho 0.666 0.667 0.000
4 Th 0.166 0.669 0.500
5 Th 0.834 0.331 0.500
6 Se 0.736 0.000 0.754
7 Se 0.264 0.000 0.246
8 Se 0.091 0.324 0.757
9 Se 0.585 0.324 0.243
10 Se 0.415 0.676 0.757
11 Se 0.909 0.676 0.243